# 1
# Zr2WAu

A geometry-optimized Zr2WAu structure (GGA-PBE, the Alexandria database).

Cell lengths 4.7883, 4.7883, 4.7883 Å; angles 60.00, 60.00, 60.00 degrees
Last column: nearest neighbours and their distance in Å.
Sites, in units of the cell vectors:
Zr  0.7500  0.7500  0.7500  4 Au 2.93, 4 W 2.93
Zr  0.2500  0.2500  0.2500  4 Au 2.93, 4 W 2.93
Au  0.5000  0.5000  0.5000  8 Zr 2.93
W  0.0000  0.0000  0.0000  8 Zr 2.93

Results
The energy above the most stable polymorph in this dataset is 0.42 eV/f.u. As for the space group: Fm-3m, No. 225. Its formation enthalpy at 0 K is -0.1381 eV per atom.

***

# 2
# NaB2Rh3

A geometry-optimized NaB2Rh3 structure (GGA-PBE, the Alexandria database).

Cell lengths 2.8434, 5.6397, 5.6402 Å; angles 119.99, 90.00, 90.00 degrees
Last column: nearest neighbours and their distance in Å.
Sites, in units of the cell vectors:
Na  0.0000  0.0016  0.0016  2 Na 2.84, 12 Rh 3.16
Rh  0.5000  0.5018  0.0012  4 B 2.16
Rh  0.5000  0.0012  0.5017  4 B 2.16
Rh  0.5000  0.5013  0.5012  4 B 2.16
B  0.0000  0.6676  0.3342  6 Rh 2.16
B  0.0000  0.3342  0.6676  6 Rh 2.16

Results
As for the space group: P6/mmm, No. 191. Its formation enthalpy at 0 K is -0.3484 eV per atom.

***

# 3
# UBe2

A geometry-optimized UBe2 structure (GGA-PBE, the Alexandria database).

Cell lengths 4.7513, 4.7513, 4.7513 Å; angles 60.00, 60.00, 60.00 degrees
Last column: nearest neighbours and their distance in Å.
Sites, in units of the cell vectors:
Be  0.6250  0.6250  0.6250  6 Be 2.38
Be  0.6250  0.6250  0.1250  6 Be 2.38
Be  0.1250  0.6250  0.6250  6 Be 2.38
Be  0.6250  0.1250  0.6250  6 Be 2.38
U  0.0000  0.0000  0.0000  12 Be 2.79, 4 U 2.91
U  0.2500  0.2500  0.2500  12 Be 2.79, 4 U 2.91

Results
As for the space group: Fd-3m, No. 227. Its formation enthalpy at 0 K is 0.1362 eV per atom.

***

# 4
# TlCdN3

A geometry-optimized TlCdN3 structure (GGA-PBE, the Alexandria database).

Cell lengths 4.3308, 4.3308, 4.3308 Å; angles 90.00, 90.00, 90.00 degrees
Last column: nearest neighbours and their distance in Å.
Sites, in units of the cell vectors:
Cd  0.5000  0.5000  0.5000  12 N 3.06
N  0.5000  0.0000  0.0000  2 Tl 2.17
N  0.0000  0.0000  0.5000  2 Tl 2.17
N  0.0000  0.5000  0.0000  2 Tl 2.17
Tl  0.0000  0.0000  0.0000  6 N 2.17

Results
For the energy relative to the elements, uncorrected, the calculation gives 11.50 eV per formula unit. As for the space group: Pm-3m, No. 221.